# 1
Compound: Nd5Y3Tm2
Source: the Alexandria database
Functional: PBE
Structure: relaxed

Cell: 10.096 10.082 11.308 Å, 129.73 129.75 64.34°
Atoms (fractional coordinates):
Nd 0.886 0.637 0.758
Nd 0.977 0.227 0.453
Nd 0.023 0.773 0.547
Nd 0.728 0.478 0.955
Nd 0.372 0.121 0.758
Nd 0.484 0.734 0.467
Nd 0.628 0.879 0.242
Nd 0.516 0.266 0.533
Nd 0.114 0.363 0.242
Nd 0.272 0.522 0.045
Y 0.771 0.021 0.041
Y 0.229 0.979 0.959
Y 0.281 0.523 0.748
Y 0.967 0.225 0.748
Y 0.033 0.775 0.252
Y 0.719 0.477 0.252
Tm 0.475 0.718 0.753
Tm 0.223 0.965 0.247
Tm 0.525 0.282 0.247
Tm 0.777 0.035 0.753

Computed properties:
The value obtained for the energy above the most stable polymorph in this dataset is 123 meV per atom. Its total energy is -5.040 eV/atom. For the volume, the calculation gives 340 Å³/f.u. As for the calculated formation energy: 0.178 eV per atom.

***

# 2
Compound: Nd5Y2Tm
Source: the Alexandria database
Functional: PBE
Structure: relaxed

Cell: 5.132 7.256 14.524 Å, 90.00 90.00 90.00°
Atoms (fractional coordinates):
Y 0.500 0.250 0.123
Y 0.500 0.250 0.623
Y 0.500 0.750 0.877
Y 0.500 0.750 0.377
Nd 0.000 0.001 0.748
Nd 0.500 0.248 0.376
Nd 0.000 0.499 0.248
Nd 0.000 0.000 0.000
Nd 0.000 0.999 0.252
Nd 0.000 0.500 0.500
Nd 0.500 0.752 0.624
Nd 0.000 0.501 0.752
Nd 0.500 0.748 0.124
Nd 0.500 0.252 0.876
Tm 0.000 0.000 0.500
Tm 0.000 0.500 0.000

Computed properties:
Its total energy is -5.138 eV/atom. For the volume, the calculation gives 270 Å³/f.u. As for the calculated formation energy: 0.017 eV per atom.

***

# 3
Compound: Nd6Y4Tm
Source: the Alexandria database
Functional: PBE
Structure: relaxed

Cell: 5.873 5.699 25.989 Å, 90.00 90.00 121.02°
Atoms (fractional coordinates):
Y 0.538 0.076 0.876
Y 0.538 0.076 0.624
Y 0.152 0.303 0.044
Y 0.462 0.924 0.376
Y 0.848 0.697 0.956
Y 0.848 0.697 0.544
Y 0.152 0.303 0.456
Y 0.462 0.924 0.124
Nd 0.803 0.607 0.398
Nd 0.546 0.092 0.750
Nd 0.128 0.255 0.317
Nd 0.872 0.745 0.683
Nd 0.197 0.393 0.602
Nd 0.454 0.908 0.250
Nd 0.128 0.255 0.183
Nd 0.197 0.393 0.898
Nd 0.500 0.000 0.500
Nd 0.803 0.607 0.102
Nd 0.872 0.745 0.817
Nd 0.500 0.000 0.000
Tm 0.792 0.584 0.250
Tm 0.208 0.416 0.750

Computed properties:
The value obtained for the energy above the most stable polymorph in this dataset is 0 meV per atom. Its total energy is -5.244 eV/atom. For the volume, the calculation gives 373 Å³/f.u. As for the calculated formation energy: 0.113 eV per atom.

***

# 4
Compound: Nd8YTm5
Source: the Alexandria database
Functional: PBE
Structure: relaxed

Cell: 8.562 8.562 8.562 Å, 111.23 106.02 111.23°
Atoms (fractional coordinates):
Nd 0.664 0.396 0.923
Nd 0.162 0.733 0.077
Nd 0.571 0.914 0.838
Nd 0.732 0.259 0.336
Nd 0.343 0.267 0.429
Nd 0.077 0.741 0.473
Nd 0.923 0.086 0.657
Nd 0.527 0.604 0.268
Tm 0.818 0.687 0.724
Tm 0.276 0.094 0.964
Tm 0.036 0.313 0.130
Tm 0.870 0.906 0.182
Tm 0.500 0.000 0.500
Y 0.250 0.500 0.750

Computed properties:
Its total energy is -4.533 eV/atom. For the volume, the calculation gives 482 Å³/f.u. As for the calculated formation energy: 0.250 eV per atom.

***

> Number 2 is which compound?

Nd5Y2Tm

***

> The lowest volume belongs to which entry?

Nd5Y2Tm

***

> Number 4 is which compound?

Nd8YTm5

***

> Which value of volume does entry 1 give?

340 Å³/f.u.